Here is CePm3Ho3 after structural relaxation from the Alexandria database. Energies are from GGA-PBE.

Output
DFT formation energy: 0.22 eV/atom
SG: C2/m, No. 12
DOS at the Fermi energy: 15.79 states/eV/f.u.
Size of the total moment: 2.6 μB per cell

Unit cell a=8.1120 b=8.1120 c=7.1866 alpha=90.04 beta=90.04 gamma=89.60
Last column: magnetic moment on the atom in μB.
Element x y z (fractional)
Ho (0.7097, 0.2903, 0.5000)  0.00
Ho (0.7185, 0.7185, 0.4992)  0.03
Ho (0.7198, 0.2802, 0.0000)  0.06
Ho (0.2802, 0.7198, 0.0000)  0.06
Ho (0.2903, 0.7097, 0.5000)  0.00
Ho (0.2815, 0.2815, 0.5008)  0.03
Pm (0.4986, 0.0003, 0.2469)  0.04
Pm (0.9997, 0.5015, 0.7531)  0.04
Pm (0.9999, 0.9999, 0.7498)  0.00
Pm (0.5014, 0.9997, 0.7531)  0.04
Pm (0.0003, 0.4985, 0.2469)  0.04
Pm (0.0001, 0.0001, 0.2502)  0.00
Ce (0.7065, 0.7065, 0.0000)  0.85
Ce (0.2935, 0.2935, 0.0000)  0.85

Here is CePmHo2 after structural relaxation from the Alexandria database. Energies are from GGA-PBE.

Output
DFT formation energy: 0.06 eV/atom
SG: P4/mmm, No. 123
DOS at the Fermi energy: 7.66 states/eV/f.u.
Size of the total moment: 0.6 μB per cell

Unit cell a=3.5487 b=3.5487 c=9.9732 alpha=90.00 beta=90.00 gamma=90.00
Last column: magnetic moment on the atom in μB.
Element x y z (fractional)
Ho (0.0000, 0.0000, 0.7414)  0.01
Ho (0.0000, 0.0000, 0.2586)  0.01
Ce (0.5000, 0.5000, 0.5000)  0.54
Pm (0.5000, 0.5000, 0.0000)  -0.01

Here is CePm3Ho4 after structural relaxation from the Alexandria database. Energies are from GGA-PBE.

Output
DFT formation energy: 0.04 eV/atom
SG: Pmmm, No. 47
DOS at the Fermi energy: 14.09 states/eV/f.u.
Size of the total moment: 0.8 μB per cell

Unit cell a=3.5893 b=8.0297 c=10.6103 alpha=98.68 beta=70.25 gamma=116.60
Last column: magnetic moment on the atom in μB.
Element x y z (fractional)
Pm (0.5000, 0.5000, 0.5000)  -0.01
Pm (0.0000, 0.5000, 0.0000)  -0.01
Pm (0.0000, 0.0000, 0.5000)  0.00
Ho (0.4935, 0.2469, 0.7536)  0.01
Ho (0.5065, 0.7531, 0.2464)  0.01
Ho (0.9993, 0.7531, 0.7536)  0.01
Ho (0.0007, 0.2469, 0.2464)  0.01
Ce (0.5000, 0.0000, 0.0000)  0.68

Here is CePm8Ho5 after structural relaxation from the Alexandria database. Energies are from GGA-PBE.

Output
DFT formation energy: 0.26 eV/atom
SG: I-4, No. 82
DOS at the Fermi energy: 25.95 states/eV/f.u.
Size of the total moment: 1.2 μB per cell

Unit cell a=8.5086 b=8.5086 c=8.5086 alpha=111.84 beta=104.84 gamma=111.84
Last column: magnetic moment on the atom in μB.
Element x y z (fractional)
Pm (0.3350, 0.2691, 0.4376)  0.05
Pm (0.5623, 0.8974, 0.8314)  0.05
Pm (0.0725, 0.7460, 0.4679)  -0.01
Pm (0.7219, 0.2540, 0.3265)  -0.01
Pm (0.5321, 0.6046, 0.2781)  -0.01
Pm (0.9340, 0.1026, 0.6650)  0.05
Pm (0.1685, 0.7309, 0.0659)  0.05
Pm (0.6735, 0.3954, 0.9275)  -0.01
Ce (0.2502, 0.5000, 0.7502)  0.91
Ho (0.2782, 0.0959, 0.9629)  -0.01
Ho (0.8176, 0.6847, 0.7218)  -0.01
Ho (0.0371, 0.3153, 0.1329)  -0.01
Ho (0.8670, 0.9041, 0.1823)  -0.01
Ho (0.4999, 0.0000, 0.4999)  -0.03

Here is CePm2Ho8 after structural relaxation from the Alexandria database. Energies are from GGA-PBE.

Output
DFT formation energy: 0.04 eV/atom
SG: C2/m, No. 12
DOS at the Fermi energy: 17.93 states/eV/f.u.
Size of the total moment: 1.1 μB per cell

Unit cell a=5.0224 b=7.9331 c=9.3889 alpha=104.66 beta=105.51 gamma=90.00
Last column: magnetic moment on the atom in μB.
Element x y z (fractional)
Ho (0.4104, 0.5469, 0.8208)  0.01
Ho (0.6799, 0.9070, 0.3598)  0.00
Ho (0.1350, 0.1781, 0.2700)  0.05
Ho (0.0444, 0.7303, 0.0887)  0.04
Ho (0.5896, 0.4531, 0.1792)  0.01
Ho (0.8650, 0.8219, 0.7300)  0.05
Ho (0.3201, 0.0930, 0.6402)  0.00
Ho (0.9556, 0.2697, 0.9113)  0.04
Pm (0.2284, 0.6371, 0.4568)  -0.01
Pm (0.7716, 0.3629, 0.5432)  -0.01
Ce (0.5000, 0.0000, 0.0000)  0.77

Here is CePmHo2 after structural relaxation from the Alexandria database. Energies are from GGA-PBE.

Output
DFT formation energy: 0.18 eV/atom
SG: R-3m, No. 166
DOS at the Fermi energy: 7.79 states/eV/f.u.
Size of the total moment: 0.1 μB per cell

Unit cell a=3.4463 b=3.4463 c=12.4193 alpha=82.02 beta=82.02 gamma=60.00
Last column: magnetic moment on the atom in μB.
Element x y z (fractional)
Ce (0.5000, 0.5000, 0.5000)  0.12
Ho (0.0917, 0.0917, 0.7250)  -0.01
Ho (0.9083, 0.9083, 0.2750)  -0.01
Pm (0.0000, 0.0000, 0.0000)  -0.01

Here is CePmHo3 after structural relaxation from the Alexandria database. Energies are from GGA-PBE.

Output
DFT formation energy: 0.05 eV/atom
SG: Pnma, No. 62
DOS at the Fermi energy: 9.38 states/eV/f.u.
Size of the total moment: 3.6 μB per cell

Unit cell a=3.5399 b=10.0376 c=17.6943 alpha=90.00 beta=90.00 gamma=90.00
Last column: magnetic moment on the atom in μB.
Element x y z (fractional)
Ce (0.2500, 0.1239, 0.3478)  0.68
Ce (0.7500, 0.3761, 0.8478)  0.68
Ce (0.7500, 0.8761, 0.6522)  0.68
Ce (0.2500, 0.6239, 0.1522)  0.68
Ho (0.2500, 0.6261, 0.7505)  0.03
Ho (0.2500, 0.1197, 0.5512)  0.03
Ho (0.2500, 0.6197, 0.9488)  0.03
Ho (0.2500, 0.6241, 0.3488)  -0.01
Ho (0.7500, 0.8739, 0.2505)  0.03
Ho (0.7500, 0.3739, 0.2495)  0.03
Ho (0.2500, 0.1261, 0.7495)  0.03
Ho (0.7500, 0.8759, 0.8488)  -0.01
Ho (0.7500, 0.3759, 0.6512)  -0.01
Ho (0.7500, 0.3803, 0.0512)  0.03
Ho (0.7500, 0.8803, 0.4488)  0.03
Ho (0.2500, 0.1241, 0.1512)  -0.01
Pm (0.7500, 0.3682, 0.4504)  0.01
Pm (0.2500, 0.1318, 0.9504)  0.01
Pm (0.7500, 0.8682, 0.0496)  0.01
Pm (0.2500, 0.6318, 0.5496)  0.01

Here is CePm7Ho4 after structural relaxation from the Alexandria database. Energies are from GGA-PBE.

Output
DFT formation energy: 0.14 eV/atom
SG: P-1, No. 2
DOS at the Fermi energy: 23.86 states/eV/f.u.
Size of the total moment: 1.4 μB per cell

Unit cell a=6.0064 b=7.0492 c=11.7610 alpha=72.62 beta=58.96 gamma=89.98
Last column: magnetic moment on the atom in μB.
Element x y z (fractional)
Ho (0.4803, 0.5967, 0.2724)  0.02
Ho (0.4801, 0.1305, 0.2726)  0.02
Ho (0.5197, 0.4033, 0.7276)  0.02
Ho (0.5199, 0.8695, 0.7274)  0.02
Pm (0.8767, 0.8130, 0.3735)  0.01
Pm (0.1747, 0.4633, 0.0735)  0.01
Pm (0.8283, 0.2882, 0.4236)  -0.02
Pm (0.8253, 0.5367, 0.9265)  0.01
Pm (0.5000, 0.0000, 0.0000)  0.21
Pm (0.1717, 0.7118, 0.5764)  -0.02
Pm (0.1233, 0.1870, 0.6265)  0.01
Ce (0.0000, 0.0000, 0.0000)  0.72

Here is CePmHo after structural relaxation from the Alexandria database. Energies are from GGA-PBE.

Output
DFT formation energy: 0.08 eV/atom
SG: I4mm, No. 107
DOS at the Fermi energy: 6.21 states/eV/f.u.
Size of the total moment: 0.3 μB per cell

Unit cell a=3.5443 b=3.5443 c=7.8905 alpha=102.98 beta=102.98 gamma=90.00
Last column: magnetic moment on the atom in μB.
Element x y z (fractional)
Ce (0.3318, 0.3318, 0.6637)  0.27
Pm (0.9950, 0.9950, 0.9901)  -0.01
Ho (0.6731, 0.6731, 0.3462)  0.00

Here is CePmHo5 after structural relaxation from the Alexandria database. Energies are from GGA-PBE.

Output
DFT formation energy: 0.20 eV/atom
SG: C2/c, No. 15
DOS at the Fermi energy: 14.39 states/eV/f.u.
Size of the total moment: 1.7 μB per cell

Unit cell a=6.5615 b=9.3823 c=9.3823 alpha=125.93 beta=97.24 gamma=97.24
Last column: magnetic moment on the atom in μB.
Element x y z (fractional)
Ho (0.6093, 0.7853, 0.4898)  0.03
Ho (0.3412, 0.3782, 0.0498)  0.01
Ho (0.8412, 0.0498, 0.3782)  0.01
Ho (0.8907, 0.5102, 0.2147)  0.03
Ho (0.1093, 0.4898, 0.7853)  0.03
Ho (0.6588, 0.6218, 0.9502)  0.01
Ho (0.3907, 0.2147, 0.5102)  0.03
Ho (0.1588, 0.9502, 0.6218)  0.01
Ho (0.7500, 0.2026, 0.7974)  -0.02
Ho (0.2500, 0.7974, 0.2026)  -0.02
Pm (0.0000, 0.0000, 0.0000)  0.01
Pm (0.5000, 0.0000, 0.0000)  0.01
Ce (0.2500, 0.5171, 0.4829)  0.65
Ce (0.7500, 0.4829, 0.5171)  0.65

Number 1: E -4.62 eV/atom. Number 2: E -4.90 eV/atom. Number 3: E -4.77 eV/atom. Number 4: E -4.52 eV/atom. Number 5: E -4.69 eV/atom. Number 6: E -4.78 eV/atom. Number 7: E -4.83 eV/atom. Number 8: E -4.65 eV/atom. Number 9: E -5.01 eV/atom. Number 10: E -4.60 eV/atom.